VASP calculation (PBE-GGA) on crystalline Sm12InOs6 at its relaxed geometry.

Geometry as POSCAR:
```
Sm12InOs6
1.0
8.2430 0.0000 -2.9143
-4.1215 7.1387 -2.9143
0.0000 0.0000 8.7430
Sm In Os
12 1 6
Direct
0.2954 0.0988 0.8035
0.2954 0.4919 0.1965
0.7046 0.5081 0.8035
0.7046 0.9012 0.1965
0.0988 0.8035 0.2954
0.4919 0.1965 0.2954
0.5081 0.8035 0.7046
0.9012 0.1965 0.7046
0.8035 0.2954 0.0988
0.1965 0.2954 0.4919
0.8035 0.7046 0.5081
0.1965 0.7046 0.9012
0.0000 0.0000 0.0000
0.3810 0.5000 0.8810
0.6190 0.5000 0.1190
0.5000 0.8810 0.3810
0.5000 0.1190 0.6190
0.8810 0.3810 0.5000
0.1190 0.6190 0.5000
```

Values from the calculation:
ΔH_f (0 K): -0.100 eV/atom
Spin magnetization: 0.000 μB/atom

---

VASP calculation (PBE-GGA) on crystalline PaTe2Au at its relaxed geometry.

Geometry as POSCAR:
```
PaTe2Au
1.0
-2.0056 -0.2174 3.5408
-1.9957 -3.4078 1.0055
6.2622 -4.4460 5.6191
Te Pa Au
2 1 1
Direct
0.0949 0.0949 0.7152
0.9051 0.9051 0.2848
0.5000 0.5000 0.5000
0.0000 0.0000 0.0000
```

Values from the calculation:
E_form (uncorrected): -373 meV/atom
ΔE to the lowest computed polymorph: 227.5 meV per atom
Spin magnetization: 0.282 μB/atom

---

Repeat the second record exactly.
VASP calculation (PBE-GGA) on crystalline PaTe2Au at its relaxed geometry.

Geometry as POSCAR:
```
PaTe2Au
1.0
-2.0056 -0.2174 3.5408
-1.9957 -3.4078 1.0055
6.2622 -4.4460 5.6191
Te Pa Au
2 1 1
Direct
0.0949 0.0949 0.7152
0.9051 0.9051 0.2848
0.5000 0.5000 0.5000
0.0000 0.0000 0.0000
```

Values from the calculation:
E_form (uncorrected): -373 meV/atom
ΔE to the lowest computed polymorph: 227.5 meV per atom
Spin magnetization: 0.282 μB/atom

---

Question: spin magnetization of number 1 (Sm12InOs6)?
Answer: 0.000 μB/atom

---

Copy entry 1 word for word.
VASP calculation (PBE-GGA) on crystalline Sm12InOs6 at its relaxed geometry.

Geometry as POSCAR:
```
Sm12InOs6
1.0
8.2430 0.0000 -2.9143
-4.1215 7.1387 -2.9143
0.0000 0.0000 8.7430
Sm In Os
12 1 6
Direct
0.2954 0.0988 0.8035
0.2954 0.4919 0.1965
0.7046 0.5081 0.8035
0.7046 0.9012 0.1965
0.0988 0.8035 0.2954
0.4919 0.1965 0.2954
0.5081 0.8035 0.7046
0.9012 0.1965 0.7046
0.8035 0.2954 0.0988
0.1965 0.2954 0.4919
0.8035 0.7046 0.5081
0.1965 0.7046 0.9012
0.0000 0.0000 0.0000
0.3810 0.5000 0.8810
0.6190 0.5000 0.1190
0.5000 0.8810 0.3810
0.5000 0.1190 0.6190
0.8810 0.3810 0.5000
0.1190 0.6190 0.5000
```

Values from the calculation:
ΔH_f (0 K): -0.100 eV/atom
Spin magnetization: 0.000 μB/atom